1.
This record from Alexandria describes a relaxed structure of SiTeMo. The functional is GGA-PBE.

abc: 3.3610 3.3610 5.8619
angles: 90.00 90.00 120.00
Last column: nearest neighbours and their distance in Å.
Atoms (fractional coordinates):
1 Si 0.3333 0.6667 0.4434  3 Mo 2.53
2 Te 0.6667 0.3333 0.0484  3 Mo 2.74, 3 Si 3.02
3 Mo 0.0000 0.0000 0.7194  3 Si 2.53, 3 Te 2.74

Results
raw total energy	-19.00	eV for the cell shown
symmetry	No. 156
raw formation energy	0.13	eV per atom

---

2.
This record from Alexandria describes a relaxed structure of La2SiPb. The functional is GGA-PBE.

abc: 8.6855 8.6855 8.6855
angles: 28.43 28.43 28.43
Last column: nearest neighbours and their distance in Å.
Atoms (fractional coordinates):
1 La 0.0250 0.0250 0.0250  3 Si 3.00
2 La 0.2383 0.2383 0.2383  3 Pb 3.42
3 Si 0.7601 0.7601 0.7601  3 Pb 2.76, 3 La 3.00
4 Pb 0.4766 0.4766 0.4766  3 Si 2.76

Results
raw total energy	-19.31	eV for the cell shown
symmetry	No. 160
raw formation energy	-0.08	eV per atom

---

3.
This record from Alexandria describes a relaxed structure of Ta2MnTe. The functional is GGA-PBE.

abc: 5.2044 5.2044 5.2044
angles: 134.33 134.33 66.58
Last column: nearest neighbours and their distance in Å.
Atoms (fractional coordinates):
1 Te 0.5000 0.5000 0.0000  8 Ta 2.86-2.97, 4 Mn 2.97
2 Mn 0.7500 0.2500 0.5000  8 Ta 2.86-2.97, 4 Te 2.97
3 Ta 0.2500 0.7500 0.5000  4 Mn 2.86, 4 Ta 2.97, 4 Te 2.97
4 Ta 0.0000 0.0000 0.0000  4 Te 2.86, 4 Ta 2.97, 4 Mn 2.97

Results
raw total energy	-34.71	eV for the cell shown
symmetry	No. 119
raw formation energy	0.33	eV per atom

---

4.
This record from Alexandria describes a relaxed structure of CsRb2O6. The functional is GGA-PBE.

abc: 8.5025 8.5025 8.5025
angles: 153.69 136.52 51.53
Last column: nearest neighbours and their distance in Å.
Atoms (fractional coordinates):
1 O 0.2282 0.3353 0.8929  1 O 1.35
2 O 0.8912 0.5000 0.3912  1 O 1.37
3 O 0.4423 0.3353 0.1071  1 O 1.35
4 O 0.1088 0.5000 0.6088  1 O 1.37
5 O 0.5577 0.6647 0.8929  1 O 1.35
6 O 0.7718 0.6647 0.1071  1 O 1.35
7 Rb 0.8500 0.8500 0.0000  10 O 2.92-3.15
8 Rb 0.1500 0.1500 0.0000  10 O 2.92-3.15
9 Cs 0.5000 0.0000 0.5000  12 O 3.13-3.25

Results
raw total energy	-39.80	eV for the cell shown
symmetry	No. 71
raw formation energy	-0.81	eV per atom

---

5.
This record from Alexandria describes a relaxed structure of MgAlNi2. The functional is GGA-PBE.

abc: 2.7226 3.7857 5.2164
angles: 90.00 90.00 90.00
Last column: nearest neighbours and their distance in Å.
Atoms (fractional coordinates):
1 Ni 0.0000 0.0000 0.9915  1 Al 2.41, 4 Mg 2.58
2 Ni 0.5000 0.5000 0.2729  4 Al 2.52, 2 Mg 2.56-2.65, 6 Ni 2.72-2.76
3 Al 0.0000 0.0000 0.4543  5 Ni 2.41-2.52
4 Mg 0.5000 0.5000 0.7813  6 Ni 2.56-2.65, 2 Mg 2.72

Results
energy of formation from the pure elements	-0.219	eV per atom
raw total energy	-17.78	eV for the cell shown
symmetry	No. 25

---

6.
This record from Alexandria describes a relaxed structure of CrCdAg3. The functional is GGA-PBE.

abc: 5.0233 5.0233 5.0233
angles: 90.00 90.00 90.00
Last column: nearest neighbours and their distance in Å.
Atoms (fractional coordinates):
1 Ag 0.0000 0.0000 0.5000  2 Cr 2.51
2 Ag 0.5000 0.0000 0.0000  2 Cr 2.51
3 Ag 0.0000 0.5000 0.0000  2 Cr 2.51
4 Cr 0.0000 0.0000 0.0000  6 Ag 2.51
5 Cd 0.5000 0.5000 0.5000  12 Ag 3.55

Results
energy of formation from the pure elements	0.937	eV per atom
raw total energy	-14.41	eV for the cell shown
symmetry	No. 221